## HoTlFeTe3 (PBE)

Data for an optimized crystal structure of HoTlFeTe3.

Summary:
E above lowest polymorph = 90.0 meV per atom
Theoretical density = 7.10 g cm⁻³
Magnetization = 15.903 μB per cell
Space-group type = Pnma, No. 62

The structure in CIF format:
```
data_HoTlFeTe3
_cell_length_a 10.573
_cell_length_b 4.406
_cell_length_c 16.213
_cell_angle_alpha 90.00
_cell_angle_beta 90.00
_cell_angle_gamma 90.00
_space_group_name_H-M_alt 'P 1'
_space_group_IT_number 1
loop_
_space_group_symop_operation_xyz
'x,y,z'
loop_
_atom_site_label
_atom_site_type_symbol
_atom_site_fract_x
_atom_site_fract_y
_atom_site_fract_z
Fe1 Fe 0.652 0.250 0.128
Fe2 Fe 0.152 0.250 0.372
Fe3 Fe 0.848 0.750 0.628
Fe4 Fe 0.348 0.750 0.872
Ho1 Ho 0.330 0.250 0.051
Ho2 Ho 0.830 0.250 0.449
Ho3 Ho 0.170 0.750 0.551
Ho4 Ho 0.670 0.750 0.949
Te1 Te 0.836 0.250 0.021
Te2 Te 0.515 0.750 0.112
Te3 Te 0.205 0.250 0.218
Te4 Te 0.705 0.250 0.282
Te5 Te 0.015 0.750 0.388
Te6 Te 0.336 0.250 0.479
Te7 Te 0.664 0.750 0.521
Te8 Te 0.985 0.250 0.612
Te9 Te 0.295 0.750 0.718
Te10 Te 0.795 0.750 0.782
Te11 Te 0.485 0.250 0.888
Te12 Te 0.164 0.750 0.979
Tl1 Tl 0.941 0.750 0.184
Tl2 Tl 0.441 0.750 0.316
Tl3 Tl 0.559 0.250 0.684
Tl4 Tl 0.059 0.250 0.816
```

## Ho3Tm3FeTe2 (PBE)

Data for an optimized crystal structure of Ho3Tm3FeTe2.

Summary:
E above lowest polymorph = 0.0 meV per atom
Theoretical density = 9.40 g cm⁻³
Magnetization = 0.385 μB per cell
Space-group type = P-62m, No. 189

The structure in CIF format:
```
data_Ho3Tm3FeTe2
_cell_length_a 8.224
_cell_length_b 8.224
_cell_length_c 3.958
_cell_angle_alpha 90.00
_cell_angle_beta 90.00
_cell_angle_gamma 120.00
_space_group_name_H-M_alt 'P 1'
_space_group_IT_number 1
loop_
_space_group_symop_operation_xyz
'x,y,z'
loop_
_atom_site_label
_atom_site_type_symbol
_atom_site_fract_x
_atom_site_fract_y
_atom_site_fract_z
Fe1 Fe 0.000 0.000 0.000
Ho1 Ho 0.392 0.000 0.000
Ho2 Ho 0.000 0.392 0.000
Ho3 Ho 0.608 0.608 0.000
Te1 Te 0.667 0.333 0.500
Te2 Te 0.333 0.667 0.500
Tm1 Tm 0.765 0.000 0.500
Tm2 Tm 0.235 0.235 0.500
Tm3 Tm 0.000 0.765 0.500
```

## Ho3Tm3FeTe2 (PBE)

Data for an optimized crystal structure of Ho3Tm3FeTe2.

Summary:
E above lowest polymorph = 34.2 meV per atom
Theoretical density = 9.45 g cm⁻³
Magnetization = 0.366 μB per cell
Space-group type = P-62m, No. 189

The structure in CIF format:
```
data_Ho3Tm3FeTe2
_cell_length_a 8.221
_cell_length_b 8.221
_cell_length_c 3.942
_cell_angle_alpha 90.00
_cell_angle_beta 90.00
_cell_angle_gamma 120.00
_space_group_name_H-M_alt 'P 1'
_space_group_IT_number 1
loop_
_space_group_symop_operation_xyz
'x,y,z'
loop_
_atom_site_label
_atom_site_type_symbol
_atom_site_fract_x
_atom_site_fract_y
_atom_site_fract_z
Fe1 Fe 0.000 0.000 0.000
Ho1 Ho 0.764 0.000 0.500
Ho2 Ho 0.236 0.236 0.500
Ho3 Ho 0.000 0.764 0.500
Te1 Te 0.667 0.333 0.500
Te2 Te 0.333 0.667 0.500
Tm1 Tm 0.392 0.000 0.000
Tm2 Tm 0.000 0.392 0.000
Tm3 Tm 0.608 0.608 0.000
```

## HoThFe (PBE)

Data for an optimized crystal structure of HoThFe.

Summary:
E above lowest polymorph = 0.0 meV per atom
Formation energy = 11.6 kJ/mol of atoms
Theoretical density = 10.16 g cm⁻³
Magnetization = 0.012 μB per cell
Space-group type = F-43m, No. 216

The structure in CIF format:
```
data_HoThFe
_cell_length_a 4.713
_cell_length_b 4.713
_cell_length_c 4.713
_cell_angle_alpha 60.00
_cell_angle_beta 60.00
_cell_angle_gamma 60.00
_space_group_name_H-M_alt 'P 1'
_space_group_IT_number 1
loop_
_space_group_symop_operation_xyz
'x,y,z'
loop_
_atom_site_label
_atom_site_type_symbol
_atom_site_fract_x
_atom_site_fract_y
_atom_site_fract_z
Fe1 Fe 0.000 0.000 0.000
Ho1 Ho 0.250 0.250 0.250
Th1 Th 0.750 0.750 0.750
```

## Ho4TlFe (PBE)

Data for an optimized crystal structure of Ho4TlFe.

Summary:
E = -4.993 eV per atom
Theoretical density = 9.58 g cm⁻³
Magnetization = 0.011 μB per cell
Space-group type = C2/c, No. 15

The structure in CIF format:
```
data_Ho4TlFe
_cell_length_a 7.699
_cell_length_b 7.699
_cell_length_c 6.026
_cell_angle_alpha 99.35
_cell_angle_beta 99.35
_cell_angle_gamma 111.29
_space_group_name_H-M_alt 'P 1'
_space_group_IT_number 1
loop_
_space_group_symop_operation_xyz
'x,y,z'
loop_
_atom_site_label
_atom_site_type_symbol
_atom_site_fract_x
_atom_site_fract_y
_atom_site_fract_z
Fe1 Fe 0.001 0.999 0.250
Fe2 Fe 0.999 0.001 0.750
Ho1 Ho 0.269 0.944 0.045
Ho2 Ho 0.198 0.353 0.107
Ho3 Ho 0.647 0.802 0.393
Ho4 Ho 0.056 0.731 0.455
Ho5 Ho 0.944 0.269 0.545
Ho6 Ho 0.353 0.198 0.607
Ho7 Ho 0.802 0.647 0.893
Ho8 Ho 0.731 0.056 0.955
Tl1 Tl 0.626 0.374 0.250
Tl2 Tl 0.374 0.626 0.750
```

## Ho2TmFe9 (PBE)

Data for an optimized crystal structure of Ho2TmFe9.

Summary:
Formation energy = -8.7 kJ/mol of atoms
Theoretical density = 9.49 g cm⁻³
Magnetization = 15.847 μB per cell
Space-group type = R-3m, No. 166

The structure in CIF format:
```
data_Ho2TmFe9
_cell_length_a 8.523
_cell_length_b 8.523
_cell_length_c 8.523
_cell_angle_alpha 34.29
_cell_angle_beta 34.29
_cell_angle_gamma 34.29
_space_group_name_H-M_alt 'P 1'
_space_group_IT_number 1
loop_
_space_group_symop_operation_xyz
'x,y,z'
loop_
_atom_site_label
_atom_site_type_symbol
_atom_site_fract_x
_atom_site_fract_y
_atom_site_fract_z
Fe1 Fe 0.581 0.581 0.081
Fe2 Fe 0.333 0.333 0.333
Fe3 Fe 0.919 0.419 0.419
Fe4 Fe 0.419 0.919 0.419
Fe5 Fe 0.500 0.500 0.500
Fe6 Fe 0.581 0.081 0.581
Fe7 Fe 0.081 0.581 0.581
Fe8 Fe 0.667 0.667 0.667
Fe9 Fe 0.419 0.419 0.919
Ho1 Ho 0.142 0.142 0.142
Ho2 Ho 0.858 0.858 0.858
Tm1 Tm 0.000 0.000 0.000
```

## HoTmFe2 (PBE)

Data for an optimized crystal structure of HoTmFe2.

Summary:
Formation energy = -5.0 kJ/mol of atoms
Theoretical density = 9.37 g cm⁻³
Magnetization = 0.017 μB per cell
Space-group type = Pmn2_1, No. 31

The structure in CIF format:
```
data_HoTmFe2
_cell_length_a 3.801
_cell_length_b 7.641
_cell_length_c 5.436
_cell_angle_alpha 90.00
_cell_angle_beta 90.00
_cell_angle_gamma 90.00
_space_group_name_H-M_alt 'P 1'
_space_group_IT_number 1
loop_
_space_group_symop_operation_xyz
'x,y,z'
loop_
_atom_site_label
_atom_site_type_symbol
_atom_site_fract_x
_atom_site_fract_y
_atom_site_fract_z
Fe1 Fe 0.000 0.222 0.076
Fe2 Fe 0.000 0.725 0.422
Fe3 Fe 0.500 0.778 0.576
Fe4 Fe 0.500 0.275 0.922
Ho1 Ho 0.500 0.425 0.396
Ho2 Ho 0.000 0.575 0.896
Tm1 Tm 0.500 0.929 0.106
Tm2 Tm 0.000 0.071 0.606
```

## HoTm2Fe9 (PBE)

Data for an optimized crystal structure of HoTm2Fe9.

Summary:
Formation energy = -10.4 kJ/mol of atoms
Theoretical density = 9.57 g cm⁻³
Magnetization = 15.634 μB per cell
Space-group type = R-3m, No. 166

The structure in CIF format:
```
data_HoTm2Fe9
_cell_length_a 8.508
_cell_length_b 8.508
_cell_length_c 8.508
_cell_angle_alpha 34.31
_cell_angle_beta 34.31
_cell_angle_gamma 34.31
_space_group_name_H-M_alt 'P 1'
_space_group_IT_number 1
loop_
_space_group_symop_operation_xyz
'x,y,z'
loop_
_atom_site_label
_atom_site_type_symbol
_atom_site_fract_x
_atom_site_fract_y
_atom_site_fract_z
Fe1 Fe 0.582 0.582 0.081
Fe2 Fe 0.333 0.333 0.333
Fe3 Fe 0.919 0.418 0.418
Fe4 Fe 0.418 0.919 0.418
Fe5 Fe 0.500 0.500 0.500
Fe6 Fe 0.081 0.582 0.582
Fe7 Fe 0.582 0.081 0.582
Fe8 Fe 0.667 0.667 0.667
Fe9 Fe 0.418 0.418 0.919
Ho1 Ho 0.000 0.000 0.000
Tm1 Tm 0.142 0.142 0.142
Tm2 Tm 0.858 0.858 0.858
```

## HoFeW (PBE)

Data for an optimized crystal structure of HoFeW.

Summary:
E above lowest polymorph = 1285.7 meV per atom
Formation energy = 183.3 kJ/mol of atoms
Theoretical density = 10.40 g cm⁻³
Magnetization = 3.840 μB per cell
Space-group type = F-43m, No. 216

The structure in CIF format:
```
data_HoFeW
_cell_length_a 4.504
_cell_length_b 4.504
_cell_length_c 4.504
_cell_angle_alpha 60.00
_cell_angle_beta 60.00
_cell_angle_gamma 60.00
_space_group_name_H-M_alt 'P 1'
_space_group_IT_number 1
loop_
_space_group_symop_operation_xyz
'x,y,z'
loop_
_atom_site_label
_atom_site_type_symbol
_atom_site_fract_x
_atom_site_fract_y
_atom_site_fract_z
Fe1 Fe 0.000 0.000 0.000
Ho1 Ho 0.750 0.750 0.750
W1 W 0.500 0.500 0.500
```

## HoFeW (PBE)

Data for an optimized crystal structure of HoFeW.

Summary:
E above lowest polymorph = 0.0 meV per atom
Formation energy = 59.2 kJ/mol of atoms
Theoretical density = 11.73 g cm⁻³
Magnetization = 0.003 μB per cell
Space-group type = F-43m, No. 216

The structure in CIF format:
```
data_HoFeW
_cell_length_a 4.327
_cell_length_b 4.327
_cell_length_c 4.327
_cell_angle_alpha 60.00
_cell_angle_beta 60.00
_cell_angle_gamma 60.00
_space_group_name_H-M_alt 'P 1'
_space_group_IT_number 1
loop_
_space_group_symop_operation_xyz
'x,y,z'
loop_
_atom_site_label
_atom_site_type_symbol
_atom_site_fract_x
_atom_site_fract_y
_atom_site_fract_z
Fe1 Fe 0.000 0.000 0.000
Ho1 Ho 0.250 0.250 0.250
W1 W 0.750 0.750 0.750
```

## HoZrFe (PBE)

Data for an optimized crystal structure of HoZrFe.

Summary:
E above lowest polymorph = 0.0 meV per atom
Formation energy = 15.6 kJ/mol of atoms
Theoretical density = 8.03 g cm⁻³
Magnetization = 0.001 μB per cell
Space-group type = F-43m, No. 216

The structure in CIF format:
```
data_HoZrFe
_cell_length_a 4.502
_cell_length_b 4.502
_cell_length_c 4.502
_cell_angle_alpha 60.00
_cell_angle_beta 60.00
_cell_angle_gamma 60.00
_space_group_name_H-M_alt 'P 1'
_space_group_IT_number 1
loop_
_space_group_symop_operation_xyz
'x,y,z'
loop_
_atom_site_label
_atom_site_type_symbol
_atom_site_fract_x
_atom_site_fract_y
_atom_site_fract_z
Fe1 Fe 0.000 0.000 0.000
Ho1 Ho 0.250 0.250 0.250
Zr1 Zr 0.750 0.750 0.750
```

## HoZrFe4 (PBE)

Data for an optimized crystal structure of HoZrFe4.

Summary:
Formation energy = -17.8 kJ/mol of atoms
Theoretical density = 8.86 g cm⁻³
Magnetization = 6.434 μB per cell
Space-group type = F-43m, No. 216

The structure in CIF format:
```
data_HoZrFe4
_cell_length_a 5.028
_cell_length_b 5.028
_cell_length_c 5.028
_cell_angle_alpha 60.00
_cell_angle_beta 60.00
_cell_angle_gamma 60.00
_space_group_name_H-M_alt 'P 1'
_space_group_IT_number 1
loop_
_space_group_symop_operation_xyz
'x,y,z'
loop_
_atom_site_label
_atom_site_type_symbol
_atom_site_fract_x
_atom_site_fract_y
_atom_site_fract_z
Fe1 Fe 0.875 0.375 0.375
Fe2 Fe 0.375 0.875 0.375
Fe3 Fe 0.375 0.375 0.375
Fe4 Fe 0.375 0.375 0.875
Ho1 Ho 0.000 0.000 0.000
Zr1 Zr 0.750 0.750 0.750
```